Entry 1:
{"formula": "SrMnSeBr2", "functional": "GGA-PBE", "state": "relaxed", "relative_energy_mev_per_atom": 0, "vol_a3_per_atom": 28.4, "total_energy_ry_per_atom": -0.33914, "n_ef_per_ev_atom": 0.099, "sg": "No. 123", "formation_energy_uncorrected_kcal_per_mol_atoms": -24.86, "lattice": [[-4.7655, -1.8664, -0.9440], [0.1785, -2.7032, 4.4436], [-2.1003, 4.0683, 2.5593]], "species": ["Mn", "Br", "Br", "Sr", "Se"], "fractional_positions": [[0.0000, 0.0000, 0.0000], [0.5000, 0.0000, 0.0000], [0.0000, 0.5000, 0.0000], [0.5000, 0.5000, 0.5000], [0.0000, 0.0000, 0.5000]]}

=====

Entry 2:
{"formula": "KLa2Si2", "functional": "GGA-PBE", "state": "relaxed", "vol_a3_per_atom": 31.5, "total_energy_ry_per_atom": -0.32726, "n_ef_per_ev_atom": 1.330, "sg": "No. 139", "formation_energy_uncorrected_kcal_per_mol_atoms": -2.14, "lattice": [[-4.4369, -0.4696, 2.5882], [1.2742, -4.8237, 1.3092], [1.0592, -0.6208, 6.8429]], "species": ["Si", "K", "La", "La", "Si"], "fractional_positions": [[0.6032, 0.6032, 0.7935], [0.0000, 0.0000, 0.0000], [0.7500, 0.2500, 0.5000], [0.2500, 0.7500, 0.5000], [0.3968, 0.3968, 0.2065]]}

=====

Entry 3:
{"formula": "Mg2Ga2Ag", "functional": "GGA-PBE", "state": "relaxed", "relative_energy_mev_per_atom": 0, "vol_a3_per_atom": 19.4, "total_energy_ry_per_atom": -0.18781, "delta_e_f_ev_per_atom": -0.136, "n_ef_per_ev_atom": 0.343, "sg": "No. 127", "lattice": [[6.7979, 0.0000, 0.0000], [0.0000, 6.7979, 0.0000], [0.0000, 0.0000, 4.2049]], "species": ["Mg", "Ga", "Mg", "Ga", "Ag", "Ag", "Mg", "Mg", "Ga", "Ga"], "fractional_positions": [[0.1688, 0.6688, 0.5000], [0.8664, 0.6336, 0.0000], [0.6688, 0.8312, 0.5000], [0.3664, 0.8664, 0.0000], [0.0000, 0.0000, 0.0000], [0.5000, 0.5000, 0.0000], [0.8312, 0.3312, 0.5000], [0.3312, 0.1688, 0.5000], [0.1336, 0.3664, 0.0000], [0.6336, 0.1336, 0.0000]]}

=====

Entry 4:
{"formula": "TaCBr2", "functional": "GGA-PBE", "state": "relaxed", "relative_energy_mev_per_atom": 117, "vol_a3_per_atom": 19.0, "total_energy_ry_per_atom": -0.32282, "n_ef_per_ev_atom": 1.161, "sg": "No. 166", "formation_energy_uncorrected_kcal_per_mol_atoms": 39.51, "lattice": [[1.8740, 0.0000, 8.3302], [-0.9370, 1.6229, 8.3302], [-0.9370, -1.6229, 8.3302]], "species": ["Br", "Br", "C", "Ta"], "fractional_positions": [[0.1012, 0.1012, 0.1012], [0.8988, 0.8988, 0.8988], [0.5000, 0.5000, 0.5000], [0.0000, 0.0000, 0.0000]]}

=====

Entry 5:
{"formula": "LiMg2Sc2", "functional": "GGA-PBE", "state": "relaxed", "relative_energy_mev_per_atom": 0, "vol_a3_per_atom": 22.4, "total_energy_ry_per_atom": -0.26359, "delta_e_f_ev_per_atom": -0.033, "n_ef_per_ev_atom": 1.216, "sg": "No. 139", "lattice": [[-0.0973, -0.7861, -3.3019], [2.2178, -2.5152, 0.5335], [-8.4018, -4.4680, 3.0572]], "species": ["Sc", "Mg", "Li", "Sc", "Mg"], "fractional_positions": [[0.1957, 0.1957, 0.3915], [0.5882, 0.5882, 0.1763], [0.0000, 0.0000, 0.0000], [0.8043, 0.8043, 0.6085], [0.4118, 0.4118, 0.8237]]}

=====

Entry 6:
{"formula": "AsPAu2", "functional": "GGA-PBE", "state": "relaxed", "relative_energy_mev_per_atom": 11, "vol_a3_per_atom": 19.2, "total_energy_ry_per_atom": -0.29557, "delta_e_f_ev_per_atom": 0.132, "n_ef_per_ev_atom": 0.297, "sg": "No. 8", "lattice": [[-0.8719, -1.7182, -3.0963], [-2.6986, -2.4390, -0.2614], [-6.0728, 3.1819, -3.1041]], "species": ["As", "P", "Au", "Au"], "fractional_positions": [[0.2584, 0.2584, 0.2777], [0.4675, 0.4675, 0.4840], [0.7753, 0.7753, 0.7285], [0.9987, 0.9987, 0.0098]]}

=====

Entry 7:
{"formula": "CaPaCuO5", "functional": "GGA-PBE", "state": "relaxed", "vol_a3_per_atom": 14.8, "total_energy_ry_per_atom": -0.54488, "n_ef_per_ev_atom": 0.584, "sg": "No. 15", "formation_energy_uncorrected_kcal_per_mol_atoms": -54.55, "lattice": [[5.8131, -0.3008, -0.0300], [-1.9846, 5.4721, -0.0300], [-1.6161, -2.1829, 7.5938]], "species": ["O", "Ca", "O", "Ca", "Pa", "O", "Cu", "Pa", "O", "O", "O", "Cu", "O", "O", "O", "O"], "fractional_positions": [[0.6778, 0.6222, 0.4131], [0.6745, 0.3255, 0.7500], [0.7223, 0.1383, 0.4000], [0.3255, 0.6745, 0.2500], [0.0000, 0.0000, 0.0000], [0.1383, 0.7223, 0.9000], [0.3354, 0.6646, 0.7500], [0.0000, 0.0000, 0.5000], [0.3778, 0.3222, 0.0869], [0.2777, 0.8617, 0.6000], [0.3222, 0.3778, 0.5869], [0.6646, 0.3354, 0.2500], [0.6222, 0.6778, 0.9131], [0.8617, 0.2777, 0.1000], [0.0887, 0.9113, 0.2500], [0.9113, 0.0887, 0.7500]]}

=====

Entry 8:
{"formula": "NbTlCl4", "functional": "GGA-PBE", "state": "relaxed", "vol_a3_per_atom": 33.2, "total_energy_ry_per_atom": -0.32358, "n_ef_per_ev_atom": 0.454, "sg": "No. 15", "formation_energy_uncorrected_kcal_per_mol_atoms": -25.34, "lattice": [[6.4729, -0.8048, -1.6192], [-3.6455, 7.6234, -3.6733], [0.4523, 0.2104, 8.3067]], "species": ["Cl", "Cl", "Tl", "Cl", "Cl", "Nb", "Cl", "Nb", "Tl", "Cl", "Cl", "Cl"], "fractional_positions": [[0.4046, 0.2912, 0.0066], [0.1355, 0.1382, 0.2699], [0.6153, 0.3653, 0.7306], [0.8645, 0.8618, 0.7301], [0.5954, 0.7088, 0.9934], [0.2505, 0.0005, 0.0011], [0.3657, 0.8683, 0.7301], [0.7495, 0.9995, 0.9989], [0.3847, 0.6347, 0.2694], [0.6343, 0.1317, 0.2699], [0.1020, 0.7154, 0.0066], [0.8980, 0.2846, 0.9934]]}

=====

Entry 9:
{"formula": "TiCuPtO4", "functional": "GGA-PBE", "state": "relaxed", "vol_a3_per_atom": 11.9, "total_energy_ry_per_atom": -0.49675, "n_ef_per_ev_atom": 0.196, "sg": "No. 74", "formation_energy_uncorrected_kcal_per_mol_atoms": -31.12, "lattice": [[-1.1438, -5.9821, -0.2270], [5.9669, 1.9627, 0.0281], [-3.0793, 0.3980, 5.0262]], "species": ["O", "O", "O", "O", "Ti", "O", "Cu", "Pt", "Cu", "O", "O", "O", "Ti", "Pt"], "fractional_positions": [[0.2620, 0.9572, 0.2286], [0.2778, 0.5556, 0.2977], [0.7222, 0.4444, 0.7023], [0.3048, 0.0428, 0.7714], [0.5000, 0.0000, 0.0000], [0.7380, 0.0428, 0.7714], [0.1249, 0.2499, 0.8749], [0.5000, 0.5000, 0.5000], [0.8751, 0.7501, 0.1251], [0.6952, 0.9572, 0.2286], [0.2778, 0.5556, 0.7578], [0.7222, 0.4444, 0.2422], [0.5000, 0.0000, 0.5000], [0.0000, 0.5000, 0.5000]]}

=====

Entry 10:
{"formula": "LiReSiPt2", "functional": "GGA-PBE", "state": "relaxed", "vol_a3_per_atom": 14.5, "total_energy_ry_per_atom": -0.40563, "n_ef_per_ev_atom": 0.767, "sg": "No. 123", "formation_energy_uncorrected_kcal_per_mol_atoms": 19.70, "lattice": [[-1.5908, 3.7230, -0.4740], [-2.0303, -0.3767, 3.8550], [3.2410, 1.6223, 1.8655]], "species": ["Pt", "Li", "Si", "Re", "Pt"], "fractional_positions": [[0.5000, 0.0000, 0.0000], [0.0000, 0.0000, 0.0000], [0.5000, 0.5000, 0.5000], [0.0000, 0.5000, 0.0000], [0.0000, 0.0000, 0.5000]]}

=====

Entry 11:
{"formula": "NaTm4Cd5", "functional": "GGA-PBE", "state": "relaxed", "vol_a3_per_atom": 25.5, "total_energy_ry_per_atom": -0.19334, "delta_e_f_ev_per_atom": -0.252, "n_ef_per_ev_atom": 0.729, "sg": "No. 123", "lattice": [[3.6816, 0.0000, 0.0000], [0.0000, 3.6816, 0.0000], [0.0000, 0.0000, 18.7841]], "species": ["Tm", "Tm", "Cd", "Tm", "Na", "Cd", "Cd", "Cd", "Tm", "Cd"], "fractional_positions": [[0.0000, 0.0000, 0.5984], [0.0000, 0.0000, 0.4016], [0.5000, 0.5000, 0.8930], [0.0000, 0.0000, 0.2033], [0.0000, 0.0000, 0.0000], [0.5000, 0.5000, 0.3031], [0.5000, 0.5000, 0.5000], [0.5000, 0.5000, 0.1070], [0.0000, 0.0000, 0.7967], [0.5000, 0.5000, 0.6969]]}

=====

Entry 12:
{"formula": "FeReRu2", "functional": "GGA-PBE", "state": "relaxed", "vol_a3_per_atom": 13.7, "total_energy_ry_per_atom": -0.71407, "delta_e_f_ev_per_atom": 0.150, "n_ef_per_ev_atom": 1.227, "sg": "No. 160", "lattice": [[-0.1979, -8.7793, 0.4564], [2.4315, -8.3981, 0.9397], [0.6514, -8.2527, 2.9652]], "species": ["Ru", "Re", "Ru", "Fe"], "fractional_positions": [[0.2470, 0.2470, 0.2470], [0.7520, 0.7520, 0.7520], [0.9999, 0.9999, 0.9999], [0.5012, 0.5012, 0.5012]]}

=====

Entry 13:
{"formula": "Dy3AlSe6", "functional": "GGA-PBE", "state": "relaxed", "relative_energy_mev_per_atom": 0, "vol_a3_per_atom": 26.4, "total_energy_ry_per_atom": -0.40157, "n_ef_per_ev_atom": 0.000, "sg": "No. 36", "formation_energy_uncorrected_kcal_per_mol_atoms": -37.31, "lattice": [[6.7598, 0.0000, 0.0000], [0.0000, 8.7183, -1.9616], [0.0000, 0.0333, 8.9362]], "species": ["Se", "Dy", "Se", "Al", "Se", "Se", "Al", "Se", "Dy", "Dy", "Se", "Se", "Se", "Dy", "Se", "Se", "Se", "Dy", "Dy", "Se"], "fractional_positions": [[0.7009, 0.8995, 0.4349], [0.3858, 0.4034, 0.5966], [0.1841, 0.3704, 0.3036], [0.0236, 0.2020, 0.7980], [0.1662, 0.0408, 0.9592], [0.7009, 0.5651, 0.1005], [0.5236, 0.7980, 0.2020], [0.6841, 0.3036, 0.3704], [0.9853, 0.0852, 0.2817], [0.9853, 0.7183, 0.9148], [0.6662, 0.9592, 0.0408], [0.6841, 0.6296, 0.6964], [0.6691, 0.2182, 0.7818], [0.4853, 0.9148, 0.7183], [0.2009, 0.4349, 0.8995], [0.1691, 0.7818, 0.2182], [0.1841, 0.6964, 0.6296], [0.8858, 0.5966, 0.4034], [0.4853, 0.2817, 0.0852], [0.2009, 0.1005, 0.5651]]}

=====

Entry 14:
{"formula": "LaTmPdPb", "functional": "GGA-PBE", "state": "relaxed", "vol_a3_per_atom": 26.6, "total_energy_ry_per_atom": -0.37976, "delta_e_f_ev_per_atom": -0.592, "n_ef_per_ev_atom": 0.519, "sg": "No. 216", "lattice": [[-4.5651, 2.6539, 0.6535], [-3.0309, -0.9319, 4.2728], [-0.4148, 3.6793, 3.8212]], "species": ["La", "Pb", "Tm", "Pd"], "fractional_positions": [[0.7500, 0.7500, 0.7500], [0.5000, 0.5000, 0.5000], [0.2500, 0.2500, 0.2500], [0.0000, 0.0000, 0.0000]]}

=====

Entry 15:
{"formula": "LiMnNi2", "functional": "GGA-PBE", "state": "relaxed", "vol_a3_per_atom": 12.5, "total_energy_ry_per_atom": -0.40505, "delta_e_f_ev_per_atom": 0.151, "n_ef_per_ev_atom": 1.306, "sg": "No. 99", "lattice": [[-0.5935, 0.4305, -2.4475], [-2.3689, -0.8585, 0.4235], [-2.2471, 7.0840, 1.7909]], "species": ["Ni", "Li", "Ni", "Mn"], "fractional_positions": [[0.5000, 0.5000, 0.2322], [0.0000, 0.0000, 0.4799], [0.0000, 0.0000, 0.0109], [0.5000, 0.5000, 0.7770]]}

=====

Entry 16:
{"formula": "Pm2Nd3Tm3", "functional": "GGA-PBE", "state": "relaxed", "relative_energy_mev_per_atom": 0, "vol_a3_per_atom": 33.0, "total_energy_ry_per_atom": -0.34046, "delta_e_f_ev_per_atom": 0.020, "n_ef_per_ev_atom": 1.511, "sg": "No. 71", "lattice": [[-3.3650, 3.3706, 1.7328], [-3.8205, -2.9639, -1.6541], [3.4199, -4.9967, 8.9488]], "species": ["Tm", "Pm", "Tm", "Nd", "Pm", "Tm", "Nd", "Nd"], "fractional_positions": [[0.1246, 0.1246, 0.2491], [0.2506, 0.7506, 0.5012], [0.0000, 0.5000, 0.0000], [0.3769, 0.3769, 0.7537], [0.7494, 0.2494, 0.4988], [0.8754, 0.8754, 0.7509], [0.5000, 0.0000, 0.0000], [0.6231, 0.6231, 0.2463]]}

=====

Entry 17:
{"formula": "LaY5Tm7", "functional": "GGA-PBE", "state": "relaxed", "vol_a3_per_atom": 32.9, "total_energy_ry_per_atom": -0.36776, "delta_e_f_ev_per_atom": 0.269, "n_ef_per_ev_atom": 1.999, "sg": "No. 44", "lattice": [[6.3047, 0.0000, 2.3104], [3.0069, 7.9699, 1.5522], [0.4064, -0.0780, 8.6486]], "species": ["Tm", "Tm", "La", "Tm", "Y", "Tm", "Y", "Tm", "Y", "Y", "Y", "Tm", "Tm"], "fractional_positions": [[0.5180, 0.8120, 0.1520], [0.5755, 0.4245, 0.4245], [0.9732, 0.0268, 0.0268], [0.0195, 0.6488, 0.3123], [0.5329, 0.0048, 0.4608], [0.2654, 0.2346, 0.2346], [0.5329, 0.4608, 0.0048], [0.2717, 0.7283, 0.7283], [0.0015, 0.0048, 0.4608], [0.0015, 0.4608, 0.0048], [0.7705, 0.7295, 0.7295], [0.0195, 0.3123, 0.6488], [0.5180, 0.1520, 0.8120]]}

=====

Entry 18:
{"formula": "KSn5Te6", "functional": "GGA-PBE", "state": "relaxed", "vol_a3_per_atom": 33.6, "total_energy_ry_per_atom": -0.27156, "n_ef_per_ev_atom": 0.627, "sg": "No. 12", "formation_energy_uncorrected_kcal_per_mol_atoms": -8.41, "lattice": [[-6.3948, -3.5001, -2.9879], [5.2482, -4.2763, 4.0301], [-3.3426, 3.9331, 5.9804]], "species": ["Sn", "Te", "Te", "Te", "Sn", "Te", "Te", "Sn", "Sn", "Te", "Sn", "K"], "fractional_positions": [[0.3357, 0.6643, 0.0000], [0.7301, 0.7301, 0.2500], [0.0887, 0.4397, 0.2618], [0.2699, 0.2699, 0.7500], [0.8355, 0.1645, 0.5000], [0.9113, 0.5603, 0.7382], [0.5603, 0.9113, 0.7382], [0.1645, 0.8355, 0.5000], [0.5000, 0.5000, 0.5000], [0.4397, 0.0887, 0.2618], [0.6643, 0.3357, 0.0000], [0.0000, 0.0000, 0.0000]]}

=====

Entry 19:
{"formula": "NaDyZnGa", "functional": "GGA-PBE", "state": "relaxed", "vol_a3_per_atom": 21.8, "total_energy_ry_per_atom": -0.20275, "delta_e_f_ev_per_atom": -0.203, "n_ef_per_ev_atom": 0.457, "sg": "No. 216", "lattice": [[4.9758, 0.0000, 0.0000], [2.4879, 4.3091, 0.0000], [2.4879, 1.4364, 4.0627]], "species": ["Zn", "Dy", "Na", "Ga"], "fractional_positions": [[0.5000, 0.5000, 0.5000], [0.2500, 0.2500, 0.2500], [0.7500, 0.7500, 0.7500], [0.0000, 0.0000, 0.0000]]}

=====

Entry 20:
{"formula": "KTlInSn", "functional": "GGA-PBE", "state": "relaxed", "relative_energy_mev_per_atom": 38, "vol_a3_per_atom": 30.9, "total_energy_ry_per_atom": -0.19116, "delta_e_f_ev_per_atom": -0.050, "n_ef_per_ev_atom": 0.775, "sg": "No. 216", "lattice": [[5.5927, 0.0000, 0.0000], [2.7964, 4.8434, 0.0000], [2.7964, 1.6145, 4.5664]], "species": ["Sn", "In", "Tl", "K"], "fractional_positions": [[0.2500, 0.2500, 0.2500], [0.0000, 0.0000, 0.0000], [0.5000, 0.5000, 0.5000], [0.7500, 0.7500, 0.7500]]}